Below is a geometry-optimized ReAg2RuRh structure, with properties calculated at the PBE-GGA level.

Properties
Volume: 110.2 Å³/cell

abc: 4.9330 4.9330 4.5265
angles: 90.00 90.00 90.00
Closest atoms and distances in Å follow each position.
Atoms (fractional coordinates):
Re  0.0000  0.0000  0.0000  8 Ag 3.35, 4 Ru 3.49
Ag  0.0000  0.5000  0.5000  2 Rh 2.47
Ag  0.5000  0.0000  0.5000  2 Rh 2.47
Ru  0.5000  0.5000  0.0000  2 Rh 2.26
Rh  0.5000  0.5000  0.5000  2 Ru 2.26, 4 Ag 2.47

Below is a geometry-optimized LiTmMg2 structure, with properties calculated at the PBE-GGA level.

Properties
Volume: 99.1 Å³/cell

abc: 10.7791 10.7791 10.7791
angles: 17.52 17.52 17.52
Closest atoms and distances in Å follow each position.
Atoms (fractional coordinates):
Li  0.0000  0.0000  0.0000  6 Mg 3.12-3.15, 6 Li 3.28
Tm  0.1676  0.1676  0.1676  6 Tm 3.28, 6 Mg 3.38-3.40
Mg  0.4124  0.4124  0.4124  3 Li 3.15, 6 Mg 3.28, 3 Tm 3.40
Mg  0.5889  0.5889  0.5889  3 Li 3.12, 6 Mg 3.28, 3 Tm 3.38

| no. | energy of formation (eV/atom) |
| --- | --- |
| 1 | 2.055 |
| 2 | 0.033 |